# 1
Computed, not measured: crystalline ZnFeMo2 at its relaxed geometry at the PBE level of DFT.

Summary:
Energy relative to the elements = 0.6 eV per formula unit
Total magnetic moment = 0.0001 μB/atom
Crystal system = tetragonal
Total energy = -7.710 eV per atom

Cell lengths 2.7115, 2.7115, 7.6474 Å; angles 90.00, 90.00, 90.00 degrees
Positions (direct):
Fe1 0.5000 0.5000 0.7500
Mo1 0.0000 0.0000 0.9780
Mo2 0.0000 0.0000 0.5220
Zn1 0.5000 0.5000 0.2500



# 2
Computed, not measured: crystalline TiTe2Pt at its relaxed geometry at the PBE level of DFT.

Summary:
Polymorph energy (0 for the lowest one) = 0.0 meV/atom
Total magnetic moment = 0.0000 μB/atom
Crystal system = monoclinic
E_form (uncorrected) = -647 meV/atom
Total energy = -5.701 eV per atom

Cell lengths 6.6498, 8.1507, 8.5790 Å; angles 114.77, 90.00, 90.00 degrees
Positions (direct):
Ti1 0.4659 0.1830 0.4673
Ti2 0.9659 0.3170 0.5327
Ti3 0.5341 0.8170 0.5327
Ti4 0.0341 0.6830 0.4673
Te1 0.7260 0.0970 0.1914
Te2 0.2260 0.4030 0.8086
Te3 0.2740 0.9030 0.8086
Te4 0.7740 0.5970 0.1914
Te5 0.7767 0.6672 0.7200
Te6 0.2767 0.8328 0.2800
Te7 0.2233 0.3328 0.2800
Te8 0.7233 0.1672 0.7200
Pt1 0.6651 0.4425 0.3995
Pt2 0.1651 0.0575 0.6005
Pt3 0.3349 0.5575 0.6005
Pt4 0.8349 0.9425 0.3995



# 3
Computed, not measured: crystalline SiAsIO2 at its relaxed geometry at the PBE level of DFT.

Summary:
Polymorph energy (0 for the lowest one) = 513.8 meV/atom
Total magnetic moment = 0.0000 μB/atom
Crystal system = tetragonal
E_form (uncorrected) = 197 meV/atom
Total energy = -4.111 eV per atom

Cell lengths 3.9893, 3.9893, 5.7415 Å; angles 90.00, 90.00, 90.00 degrees
Positions (direct):
I1 0.0000 0.0000 0.5000
As1 0.0000 0.0000 0.0000
Si1 0.5000 0.5000 0.5000
O1 0.0000 0.5000 0.0000
O2 0.5000 0.0000 0.0000



# 4
Computed, not measured: crystalline La3TlN at its relaxed geometry at the PBE level of DFT.

Summary:
Total magnetic moment = 0.0000 μB/atom
Crystal system = orthorhombic
E_form (uncorrected) = -675 meV/atom
Total energy = -5.770 eV per atom

Cell lengths 6.0137, 14.3577, 7.0965 Å; angles 90.00, 90.00, 90.00 degrees
Positions (direct):
Tl1 0.0000 0.0000 0.5000
Tl2 0.5000 0.5000 0.0000
Tl3 0.5000 0.0000 0.0000
Tl4 0.0000 0.5000 0.5000
N1 0.5636 0.2500 0.6006
N2 0.9364 0.7500 0.1006
N3 0.4364 0.7500 0.3994
N4 0.0636 0.2500 0.8994
La1 0.0031 0.8853 0.9343
La2 0.4969 0.3853 0.4343
La3 0.4969 0.1147 0.4343
La4 0.9969 0.3853 0.0657
La5 0.9969 0.1147 0.0657
La6 0.5031 0.6147 0.5657
La7 0.5031 0.8853 0.5657
La8 0.0031 0.6147 0.9343
La9 0.4794 0.2500 0.9216
La10 0.0206 0.7500 0.4216
La11 0.5206 0.7500 0.0784
La12 0.9794 0.2500 0.5784



# 5
Computed, not measured: crystalline Ce2ScCrS6 at its relaxed geometry at the PBE level of DFT.

Summary:
Total magnetic moment = 0.3388 μB/atom
Crystal system = trigonal
E_form (uncorrected) = -1576 meV/atom
Total energy = -6.835 eV per atom

Cell lengths 6.7524, 6.7524, 6.8791 Å; angles 60.61, 60.61, 60.00 degrees
Last column: magnetic moment on the atom in μB.
Positions (direct):
Ce1 0.5312 0.5312 0.4064  -0.68
Ce2 0.0309 0.0309 0.9074  0.84
Sc1 0.8183 0.8183 0.5452  0.07
Cr1 0.3216 0.3216 0.0351  2.96
S1 0.5806 0.1791 0.2640  -0.02
S2 0.1791 0.9763 0.2640  -0.02
S3 0.9763 0.5806 0.2640  -0.02
S4 0.4630 0.6668 0.7764  -0.02
S5 0.6668 0.0938 0.7764  -0.02
S6 0.0938 0.4630 0.7764  -0.02



# 6
Computed, not measured: crystalline Tb3NdSi4 at its relaxed geometry at the PBE level of DFT.

Summary:
Total magnetic moment = 0.0000 μB/atom
Crystal system = orthorhombic
E_form (uncorrected) = -520 meV/atom
Total energy = -5.564 eV per atom

Cell lengths 3.9421, 6.3797, 8.7641 Å; angles 111.34, 103.00, 90.00 degrees
Positions (direct):
Tb1 0.0000 0.5000 0.0000
Tb2 0.1952 0.1951 0.3905
Tb3 0.8048 0.8049 0.6095
Nd1 0.5000 0.0000 0.0000
Si1 0.3670 0.5495 0.7340
Si2 0.6330 0.4505 0.2660
Si3 0.6329 0.8153 0.2659
Si4 0.3671 0.1847 0.7341



# 7
Computed, not measured: crystalline Tb4PrDyTm2 at its relaxed geometry at the PBE level of DFT.

Summary:
Energy relative to the elements = 3.4 eV per formula unit
Total magnetic moment = 0.3180 μB/atom
Crystal system = orthorhombic
Total energy = -4.176 eV per atom

Cell lengths 9.4870, 9.4870, 11.7743 Å; angles 128.36, 128.36, 88.49 degrees
Last column: magnetic moment on the atom in μB.
Positions (direct):
Tb1 0.2543 0.7506 0.0027  0.24
Tb2 0.7494 0.2457 0.4973  0.24
Tb3 0.2506 0.7543 0.5027  0.24
Tb4 0.7457 0.2494 0.9973  0.24
Tb5 0.7469 0.7533 0.0015  0.24
Tb6 0.7467 0.7531 0.4985  0.24
Tb7 0.2533 0.2469 0.5015  0.24
Tb8 0.2531 0.2467 0.9985  0.24
Pr1 0.0000 0.5000 0.0000  0.22
Pr2 0.0000 0.5000 0.5000  0.22
Dy1 0.5000 0.5000 0.5000  0.28
Dy2 0.0000 0.0000 0.0000  0.28
Tm1 0.5000 0.0000 0.0000  0.18
Tm2 0.5000 0.0000 0.5000  0.18
Tm3 0.0000 0.0000 0.5000  0.25
Tm4 0.5000 0.5000 0.0000  0.25



# 8
Computed, not measured: crystalline Pd3N at its relaxed geometry at the PBE level of DFT.

Summary:
Total magnetic moment = 0.0000 μB/atom
Crystal system = trigonal
E_form (uncorrected) = 336 meV/atom
Total energy = -5.640 eV per atom

Cell lengths 5.6267, 5.6267, 5.6267 Å; angles 54.71, 54.71, 54.71 degrees
Positions (direct):
Pd1 0.4130 0.0870 0.7500
Pd2 0.7500 0.4130 0.0870
Pd3 0.0870 0.7500 0.4130
Pd4 0.5870 0.9130 0.2500
Pd5 0.2500 0.5870 0.9130
Pd6 0.9130 0.2500 0.5870
N1 0.5000 0.5000 0.5000
N2 0.0000 0.0000 0.0000



# 9
Computed, not measured: crystalline La2Tc2BC2 at its relaxed geometry at the PBE level of DFT.

Summary:
Energy relative to the elements = -0.8 eV per formula unit
Total magnetic moment = 0.0000 μB/atom
Crystal system = monoclinic
Total energy = -8.077 eV per atom

Cell lengths 3.5618, 5.8756, 6.2902 Å; angles 69.33, 73.55, 72.36 degrees
Positions (direct):
La1 0.5665 0.2093 0.6576
La2 0.4335 0.7907 0.3424
Tc1 0.2055 0.6835 0.9055
Tc2 0.7945 0.3165 0.0945
B1 0.0000 0.0000 0.0000
C1 0.1882 0.3873 0.2363
C2 0.8118 0.6127 0.7637



# 10
Computed, not measured: crystalline Tb3Pr5Nd at its relaxed geometry at the PBE level of DFT.

Summary:
Energy relative to the elements = 2.4 eV per formula unit
Polymorph energy (0 for the lowest one) = 0.0 meV/atom
Total magnetic moment = 0.0000 μB/atom
Crystal system = monoclinic
Total energy = -4.462 eV per atom

Cell lengths 6.3105, 11.1818, 11.7134 Å; angles 124.04, 90.00, 106.39 degrees
Positions (direct):
Tb1 0.0000 0.0000 0.0000
Tb2 0.4027 0.3543 0.3255
Tb3 0.0000 0.0000 0.5000
Tb4 0.5973 0.6457 0.6745
Tb5 0.9516 0.3543 0.8255
Tb6 0.0484 0.6457 0.1745
Pr1 0.4006 0.0000 0.7500
Pr2 0.6305 0.6410 0.9771
Pr3 0.8215 0.2814 0.1264
Pr4 0.3695 0.3590 0.0229
Pr5 0.5402 0.7186 0.3736
Pr6 0.5994 0.0000 0.2500
Pr7 0.0104 0.6410 0.4771
Pr8 0.9896 0.3590 0.5229
Pr9 0.4598 0.2814 0.6264
Pr10 0.1785 0.7186 0.8736
Nd1 0.8832 0.0000 0.7500
Nd2 0.1168 0.0000 0.2500



# 11
Computed, not measured: crystalline ZnRe3Au at its relaxed geometry at the PBE level of DFT.

Summary:
Energy relative to the elements = 10.5 eV per formula unit
Polymorph energy (0 for the lowest one) = 0.0 meV/atom
Total magnetic moment = 0.0000 μB/atom
Crystal system = cubic
Total energy = -6.270 eV per atom

Cell lengths 4.4792, 4.4792, 4.4792 Å; angles 90.00, 90.00, 90.00 degrees
Positions (direct):
Re1 0.0000 0.5000 0.0000
Re2 0.0000 0.0000 0.5000
Re3 0.5000 0.0000 0.0000
Zn1 0.0000 0.0000 0.0000
Au1 0.5000 0.5000 0.5000



# 12
Computed, not measured: crystalline BRh2W at its relaxed geometry at the PBE level of DFT.

Summary:
Energy relative to the elements = 2.0 eV per formula unit
Total magnetic moment = 0.0000 μB/atom
Crystal system = tetragonal
Total energy = -8.077 eV per atom

Cell lengths 5.1223, 5.1223, 6.2471 Å; angles 65.80, 65.80, 90.00 degrees
Positions (direct):
B1 0.5000 0.5000 0.0000
B2 0.2500 0.7500 0.5000
Rh1 0.5535 0.1250 0.2500
Rh2 0.1965 0.6250 0.2500
Rh3 0.3750 0.4465 0.7500
Rh4 0.8750 0.8035 0.7500
W1 0.0000 0.0000 0.0000
W2 0.7500 0.2500 0.5000



Number 1: volume 56.22 Å³/cell, ρ 9.2 g/cm³. Number 2: volume 422.21 Å³/cell, ρ 7.8 g/cm³. Number 3: volume 91.37 Å³/cell, ρ 4.8 g/cm³. Number 4: volume 612.74 Å³/cell, ρ 6.9 g/cm³. Number 5: volume 223.80 Å³/cell, ρ 4.2 g/cm³. Number 6: volume 199.22 Å³/cell, ρ 6.1 g/cm³. Number 7: volume 529.31 Å³/cell, ρ 8.0 g/cm³. Number 8: volume 110.43 Å³/cell, ρ 10.0 g/cm³. Number 9: volume 115.06 Å³/cell, ρ 7.3 g/cm³. Number 10: volume 643.98 Å³/cell, ρ 6.8 g/cm³. Number 11: volume 89.87 Å³/cell, ρ 15.2 g/cm³. Number 12: volume 133.55 Å³/cell, ρ 10.0 g/cm³.